A plane-wave DFT calculation with PBE was carried out for an optimized crystal structure of Ta2SbP.

abc: 6.092 8.050 3.158
angles: 90.00 108.66 90.00
Element x y z (fractional)
Ta  0.250  0.250  0.000
Ta  0.250  0.750  0.000
Ta  0.750  0.250  0.000
Ta  0.750  0.750  0.000
Sb  0.000  0.000  0.500
Sb  0.500  0.500  0.500
P  0.000  0.500  0.500
P  0.500  0.000  0.500

## Properties
As for the calculated total energy: -8.033 eV per atom.